No. 1
# NbNiGe2, optimized geometry, DFT PBE
# * magnetic moment: 0.00 μB per formula unit
# * ΔE_f: -14 meV/atom
# * calculated total energy: -6.29 eV per atom
# * SG: No. 122
# * volume: 257.42 Å³ per cell
data_NbNiGe2
_chemical_formula_sum 'Nb4 Ni4 Ge8'
_space_group_name_H-M_alt 'P 1'
_space_group_IT_number 1
_space_group_name_Hall 'P 1'
_cell_length_a 6.738
_cell_length_b 6.738
_cell_length_c 5.671
_cell_angle_alpha 90.00
_cell_angle_beta 90.00
_cell_angle_gamma 90.00
loop_
_atom_site_label
_atom_site_fract_x
_atom_site_fract_y
_atom_site_fract_z
Nb1 0.000 0.000 0.000
Nb2 0.000 0.500 0.250
Nb3 0.500 0.000 0.750
Nb4 0.500 0.500 0.500
Ni1 0.000 0.000 0.500
Ni2 0.000 0.500 0.750
Ni3 0.500 0.000 0.250
Ni4 0.500 0.500 0.000
Ge1 0.208 0.750 0.625
Ge2 0.250 0.208 0.375
Ge3 0.250 0.292 0.875
Ge4 0.292 0.750 0.125
Ge5 0.708 0.250 0.125
Ge6 0.750 0.708 0.875
Ge7 0.750 0.792 0.375
Ge8 0.792 0.250 0.625



No. 2
# NbNi15Ge4, optimized geometry, DFT PBE
# * magnetic moment: 0.00 μB per formula unit
# * ΔE_f: -286 meV/atom
# * calculated total energy: -6.05 eV per atom
# * SG: No. 123
# * volume: 233.11 Å³ per cell
data_NbNi15Ge4
_chemical_formula_sum 'Nb1 Ni15 Ge4'
_space_group_name_H-M_alt 'P 1'
_space_group_IT_number 1
_space_group_name_Hall 'P 1'
_cell_length_a 3.606
_cell_length_b 3.606
_cell_length_c 17.926
_cell_angle_alpha 90.00
_cell_angle_beta 90.00
_cell_angle_gamma 90.00
loop_
_atom_site_label
_atom_site_fract_x
_atom_site_fract_y
_atom_site_fract_z
Nb1 0.000 0.000 0.000
Ni1 0.000 0.500 0.103
Ni2 0.000 0.500 0.302
Ni3 0.000 0.500 0.500
Ni4 0.000 0.500 0.698
Ni5 0.000 0.500 0.897
Ni6 0.500 0.000 0.103
Ni7 0.500 0.000 0.302
Ni8 0.500 0.000 0.500
Ni9 0.500 0.000 0.698
Ni10 0.500 0.000 0.897
Ni11 0.500 0.500 0.000
Ni12 0.500 0.500 0.202
Ni13 0.500 0.500 0.401
Ni14 0.500 0.500 0.599
Ni15 0.500 0.500 0.798
Ge1 0.000 0.000 0.205
Ge2 0.000 0.000 0.402
Ge3 0.000 0.000 0.598
Ge4 0.000 0.000 0.795